Entry 1:
9
Lattice="5.8307 -3.3695 0.0000 5.8307 3.3695 0.0000 -0.0107 0.0000 5.9592" Properties=species:S:1:pos:R:3 comment="Pr2InHg6 (PBE, relaxed)" formation_enthalpy_0k_ev_per_atom=-0.29 e_tot_ev_per_atom=-1.86 magnetic_moment_mub_per_cell=0.0 pbc="T T T"
Pr 1.9415 0.0000 1.8654
Pr 9.7092 0.0000 4.0938
In 5.8254 0.0000 2.9796
Hg 4.7592 1.8552 1.0623
Hg 3.6819 0.0000 4.8937
Hg 6.8915 1.8552 4.8969
Hg 4.7592 -1.8552 1.0623
Hg 7.9688 0.0000 1.0655
Hg 6.8915 -1.8552 4.8969

=====

Entry 2:
5
Lattice="5.1175 0.0000 0.0000 0.0000 5.1175 0.0000 0.0000 0.0000 3.8442" Properties=species:S:1:pos:R:3 comment="ReTcAu2C (PBE, relaxed)" formation_enthalpy_0k_ev_per_atom=1.63 e_tot_ev_per_atom=-6.09 magnetic_moment_mub_per_cell=4.0 pbc="T T T"
Re 0.0000 0.0000 0.0000
Tc 2.5588 2.5588 1.9221
Au 0.0000 2.5588 0.0000
Au 2.5588 0.0000 0.0000
C 0.0000 0.0000 1.9221

=====

Entry 3:
8
Lattice="5.0401 0.0000 0.0000 0.0000 5.0401 0.0000 0.0000 0.0000 7.2373" Properties=species:S:1:pos:R:3 comment="LaTm3Zn4 (PBE, relaxed)" formation_enthalpy_0k_ev_per_atom=-0.32 e_tot_ev_per_atom=-3.25 magnetic_moment_mub_per_cell=0.0 pbc="T T T"
La 0.0000 0.0000 0.0000
Tm 0.0000 0.0000 3.6187
Tm 2.5200 2.5200 0.0000
Tm 2.5200 2.5200 3.6187
Zn 0.0000 2.5200 1.9380
Zn 0.0000 2.5200 5.2993
Zn 2.5200 0.0000 1.9380
Zn 2.5200 0.0000 5.2993

=====

Entry 4:
9
Lattice="5.7603 -2.5896 0.0000 5.7603 2.5896 0.0000 -3.4413 0.0000 10.4102" Properties=species:S:1:pos:R:3 comment="La2Nd5Tm2 (PBE, relaxed)" formation_enthalpy_0k_ev_per_atom=0.02 e_tot_ev_per_atom=-4.72 magnetic_moment_mub_per_cell=0.0 pbc="T T T"
La -0.5612 0.0000 1.7736
La 8.6404 0.0000 8.6366
Nd -1.7207 0.0000 5.2051
Nd 1.7182 0.0000 6.3423
Nd 0.5756 0.0000 9.8350
Nd 7.5037 0.0000 0.5752
Nd 6.3610 0.0000 4.0679
Tm 2.8844 0.0000 2.9021
Tm 5.1949 0.0000 7.5081

=====

Entry 5:
8
Lattice="6.4649 0.0000 0.0000 0.0000 6.4649 0.0000 0.0000 0.0000 6.4649" Properties=species:S:1:pos:R:3 comment="La3Tl (PBE, relaxed)" formation_enthalpy_0k_ev_per_atom=-0.18 e_tot_ev_per_atom=-4.47 magnetic_moment_mub_per_cell=2.4 pbc="T T T"
La 0.0000 1.6162 3.2325
La 0.0000 4.8487 3.2325
La 1.6162 3.2325 0.0000
La 3.2325 0.0000 1.6162
La 3.2325 0.0000 4.8487
La 4.8487 3.2325 0.0000
Tl 0.0000 0.0000 0.0000
Tl 3.2325 3.2325 3.2325

=====

Entry 6:
8
Lattice="2.7199 -3.1397 0.0000 2.7199 3.1397 0.0000 -0.9406 0.0000 4.0573" Properties=species:S:1:pos:R:3 comment="YH6Pt (PBE, relaxed)" e_tot_ev_per_atom=-4.39 magnetic_moment_mub_per_cell=0.0 pbc="T T T"
Y 0.0000 0.0000 0.0000
H 1.8916 1.1368 0.8138
H 0.5764 0.0000 2.2885
H 2.6077 1.1368 3.2434
H 1.8916 -1.1368 0.8138
H 3.9228 0.0000 1.7687
H 2.6077 -1.1368 3.2434
Pt 2.2496 0.0000 2.0286

=====

Entry 7:
5
Lattice="5.3014 0.0000 0.0000 0.0000 5.3014 0.0000 0.0000 0.0000 4.8967" Properties=species:S:1:pos:R:3 comment="NaGeSb2Mo (PBE, relaxed)" e_form_raw_ev_per_atom=1.40 e_tot_ev_per_atom=-3.60 magnetic_moment_mub_per_cell=3.6 pbc="T T T"
Na 0.0000 0.0000 0.0000
Ge 0.0000 0.0000 2.4484
Sb 0.0000 2.6507 0.0000
Sb 2.6507 0.0000 0.0000
Mo 2.6507 2.6507 2.4484

=====

Entry 8:
4
Lattice="0.0000 3.9264 3.9264 3.9264 0.0000 3.9264 3.9264 3.9264 0.0000" Properties=species:S:1:pos:R:3 comment="EuGdTmCd (PBE, relaxed)" formation_enthalpy_0k_ev_per_atom=-0.02 e_tot_ev_per_atom=-7.45 magnetic_moment_mub_per_cell=0.1 pbc="T T T"
Eu 0.0000 0.0000 0.0000
Gd 3.9264 3.9264 3.9264
Tm 1.9632 1.9632 1.9632
Cd 5.8896 5.8896 5.8896

=====

Entry 9:
4
Lattice="3.8660 0.0000 0.0000 0.0000 3.8660 0.0000 0.0000 0.0000 9.1033" Properties=species:S:1:pos:R:3 comment="SrCaIn2 (PBE, relaxed)" formation_enthalpy_0k_ev_per_atom=-0.24 e_tot_ev_per_atom=-2.53 magnetic_moment_mub_per_cell=0.0 pbc="T T T"
Sr 0.0000 0.0000 0.0000
Ca 1.9330 1.9330 3.1918
In 0.0000 0.0000 5.2029
In 1.9330 1.9330 6.8499

=====

Entry 10:
10
Lattice="6.4022 -2.0428 0.0000 6.4022 2.0428 0.0000 -6.2923 0.0000 10.6970" Properties=species:S:1:pos:R:3 comment="Pm3HgRu (PBE, relaxed)" formation_enthalpy_0k_ev_per_atom=-0.20 e_tot_ev_per_atom=-4.96 magnetic_moment_mub_per_cell=0.0 pbc="T T T"
Pm -0.7114 0.0000 2.3532
Pm -1.6980 0.0000 10.1899
Pm 1.4941 0.0000 5.3917
Pm 5.0181 0.0000 5.3053
Pm 8.2101 0.0000 0.5070
Pm 7.2236 0.0000 8.3437
Hg 3.0432 0.0000 2.5862
Hg 3.4689 0.0000 8.1108
Ru -0.8491 0.0000 7.2762
Ru 7.3613 0.0000 3.4208

=====

Entry 11:
9
Lattice="5.8845 0.0000 0.0000 2.7763 5.2030 0.0000 0.0668 0.0805 6.5476" Properties=species:S:1:pos:R:3 comment="CsNpIO6 (PBE, relaxed)" e_form_raw_ev_per_atom=-1.69 e_tot_ev_per_atom=-6.70 magnetic_moment_mub_per_cell=1.0 pbc="T T T"
Cs 0.0000 0.0000 0.0000
Np 2.7848 1.7233 3.3110
I 5.5928 3.4842 3.2128
O 1.1456 1.9603 4.4057
O 1.9865 2.8884 2.0751
O 4.0975 3.4487 4.3375
O 5.0559 4.9654 2.1327
O 3.5742 0.4955 4.4790
O 4.8692 2.1021 2.1793

=====

Entry 12:
4
Lattice="0.0000 3.8919 3.8919 3.8919 0.0000 3.8919 3.8919 3.8919 0.0000" Properties=species:S:1:pos:R:3 comment="CeTh2Sn (PBE, relaxed)" formation_enthalpy_0k_ev_per_atom=-0.08 e_tot_ev_per_atom=-6.28 magnetic_moment_mub_per_cell=2.1 pbc="T T T"
Ce 0.0000 0.0000 0.0000
Th 1.9460 1.9460 1.9460
Th 5.8379 5.8379 5.8379
Sn 3.8919 3.8919 3.8919